No. 1
First-principles (PBE) data for Mg2ReHg after structural relaxation, as listed in the Alexandria database.

Structure (POSCAR):
```
Mg2ReHg
1.0
0.0000 3.3187 3.3187
3.3187 0.0000 3.3187
3.3187 3.3187 0.0000
Mg Re Hg
2 1 1
Cartesian
0.0000 0.0000 0.0000
1.6594 1.6594 1.6594
3.3187 3.3187 3.3187
4.9781 4.9781 4.9781
```

SG = F-43m, No. 216

No. 2
First-principles (PBE) data for Mg2ReHg after structural relaxation, as listed in the Alexandria database.

Structure (POSCAR):
```
Mg2ReHg
1.0
-2.0992 2.0992 4.0438
2.0992 -2.0992 4.0438
2.0992 2.0992 -4.0438
Mg Re Hg
2 1 1
Cartesian
2.0992 0.0000 2.0219
0.0000 2.0992 2.0219
0.0000 0.0000 0.0000
0.0000 0.0000 4.0438
```

SG = I4/mmm, No. 139

No. 3
First-principles (PBE) data for Mg2ReHg after structural relaxation, as listed in the Alexandria database.

Structure (POSCAR):
```
Mg2ReHg
1.0
-1.5234 2.4629 4.8089
1.5234 -2.4629 4.8089
1.5234 2.4629 -4.8089
Mg Re Hg
2 1 1
Cartesian
0.0000 0.0000 2.3378
0.0000 0.0000 7.2801
1.5234 0.0000 0.0000
0.0000 2.4629 0.0000
```

SG = Immm, No. 71

No. 4
First-principles (PBE) data for MgReSn2Hg after structural relaxation, as listed in the Alexandria database.

Structure (POSCAR):
```
MgReSn2Hg
1.0
5.2901 0.0000 0.0000
0.0000 5.2901 0.0000
0.0000 0.0000 4.9747
Mg Re Sn Hg
1 1 2 1
Cartesian
0.0000 0.0000 0.0000
0.0000 0.0000 2.4874
0.0000 2.6450 0.0000
2.6450 0.0000 0.0000
2.6450 2.6450 2.4874
```

SG = P4/mmm, No. 123

No. 5
First-principles (PBE) data for Sr2MgReHg after structural relaxation, as listed in the Alexandria database.

Structure (POSCAR):
```
Sr2MgReHg
1.0
5.8713 0.0000 0.0000
0.0000 5.8713 0.0000
0.0000 0.0000 5.2833
Sr Mg Re Hg
2 1 1 1
Cartesian
0.0000 2.9357 0.0000
2.9357 0.0000 0.0000
0.0000 0.0000 2.6416
2.9357 2.9357 0.0000
2.9357 2.9357 2.6416
```

SG = P4/mmm, No. 123

No. 6
First-principles (PBE) data for Mg2ReHgW after structural relaxation, as listed in the Alexandria database.

Structure (POSCAR):
```
Mg2ReHgW
1.0
4.9588 0.0000 0.0000
0.0000 4.9588 0.0000
0.0000 0.0000 5.1586
Mg Re Hg W
2 1 1 1
Cartesian
0.0000 2.4794 0.0000
2.4794 0.0000 0.0000
0.0000 0.0000 0.0000
0.0000 0.0000 2.5793
2.4794 2.4794 2.5793
```

SG = P4/mmm, No. 123

no.,formation energy from the elements (kJ/mol of atoms)
1,53.1
2,40.7
3,38.4
4,128.8
5,69.6
6,189.6